(1)
DFT (GGA-PBE) results for an optimized crystal structure of As2PbIO.

calculated density = 4.681 g/cm³
space group = P4/mmm
magnetic moment = 0.9 μB/f.u.
electronic total energy = -2.46 eV per atom

Cell: 5.3634 6.1657 5.3634 Å, 90.00 90.00 90.00°
Closest atoms and distances in Å follow each position.
Element x y z (fractional)
I 0.0000 0.0000 0.0000  4 As 2.68
As 0.0000 0.0000 0.5000  2 I 2.68
As 0.5000 0.0000 0.0000  2 I 2.68
Pb 0.0000 0.5000 0.0000  2 I 3.08
O 0.5000 0.5000 0.5000  4 Pb 3.79, 8 As 4.09

(2)
DFT (GGA-PBE) results for an optimized crystal structure of AsPbI2O.

calculated density = 5.404 g/cm³
relative energy among the computed polymorphs = 516 meV/atom
space group = P4/mmm
magnetic moment = 1.9 μB/f.u.

Cell: 6.3230 6.3230 4.2424 Å, 90.00 90.00 90.00°
Closest atoms and distances in Å follow each position.
Element x y z (fractional)
I 0.0000 0.5000 0.0000  2 Pb 3.16
I 0.5000 0.0000 0.0000  2 Pb 3.16
Pb 0.0000 0.0000 0.0000  2 O 2.12
As 0.5000 0.5000 0.5000  8 I 3.81, 2 As 4.24
O 0.0000 0.0000 0.5000  2 Pb 2.12

(3)
DFT (GGA-PBE) results for an optimized crystal structure of AsPdIO2.

calculated density = 5.172 g/cm³
relative energy among the computed polymorphs = 627 meV/atom
space group = P4/mmm
magnetic moment = 0.0 μB/f.u.

Cell: 3.9186 3.9186 7.1145 Å, 90.00 90.00 90.00°
Closest atoms and distances in Å follow each position.
Element x y z (fractional)
O 0.0000 0.5000 0.0000  2 Pd 1.96
O 0.5000 0.0000 0.0000  2 Pd 1.96
Pd 0.0000 0.0000 0.0000  4 O 1.96
As 0.5000 0.5000 0.5000  4 I 2.77
I 0.0000 0.0000 0.5000  4 As 2.77

(4)
DFT (GGA-PBE) results for an optimized crystal structure of AsPdIO2.

calculated density = 5.932 g/cm³
relative energy among the computed polymorphs = 0 meV/atom
space group = P4/mmm
magnetic moment = 0.0 μB/f.u.

Cell: 3.7805 3.7805 6.6643 Å, 90.00 90.00 90.00°
Closest atoms and distances in Å follow each position.
Element x y z (fractional)
Pd 0.5000 0.5000 0.5000  4 I 2.67
O 0.5000 0.0000 0.0000  2 As 1.89
O 0.0000 0.5000 0.0000  2 As 1.89
As 0.0000 0.0000 0.0000  4 O 1.89
I 0.0000 0.0000 0.5000  4 Pd 2.67

(5)
DFT (GGA-PBE) results for an optimized crystal structure of PrAsIO4.

calculated density = 4.915 g/cm³
space group = C2/m
magnetic moment = 0.0 μB/f.u.
electronic total energy = -6.24 eV per atom

Cell: 6.8744 6.8744 7.0342 Å, 80.00 80.00 57.52°
Closest atoms and distances in Å follow each position.
Element x y z (fractional)
O 0.7005 0.7005 0.5090  1 As 1.70
O 0.5079 0.5079 0.2297  1 As 1.69
O 0.4800 0.8805 0.8741  1 As 1.75
O 0.8805 0.4800 0.8741  1 As 1.75
O 0.5200 0.1195 0.1259  1 As 1.75
O 0.1195 0.5200 0.1259  1 As 1.75
O 0.2995 0.2995 0.4910  1 As 1.70
O 0.4921 0.4921 0.7703  1 As 1.69
I 0.9711 0.9711 0.6932  1 I 2.67
I 0.0289 0.0289 0.3068  1 I 2.67
Pr 0.7016 0.7016 0.1798  4 O 2.29-2.43
Pr 0.2984 0.2984 0.8202  4 O 2.29-2.43
As 0.3651 0.3651 0.2541  4 O 1.69-1.75
As 0.6349 0.6349 0.7459  4 O 1.69-1.75

(6)
DFT (GGA-PBE) results for an optimized crystal structure of AsPtI2O.

calculated density = 7.821 g/cm³
relative energy among the computed polymorphs = 499 meV/atom
space group = P4/mmm
magnetic moment = 0.0 μB/f.u.

Cell: 5.4092 3.9170 5.4092 Å, 90.00 90.00 90.00°
Closest atoms and distances in Å follow each position.
Element x y z (fractional)
I 0.5000 0.0000 0.0000  2 O 2.70
I 0.0000 0.0000 0.5000  2 O 2.70
O 0.0000 0.0000 0.0000  2 As 1.96
As 0.0000 0.5000 0.0000  2 O 1.96
Pt 0.5000 0.5000 0.5000  8 I 3.34

(7)
DFT (GGA-PBE) results for an optimized crystal structure of AsPtIO2.

calculated density = 5.772 g/cm³
relative energy among the computed polymorphs = 309 meV/atom
space group = P4/mmm
magnetic moment = 0.4 μB/f.u.

Cell: 3.8724 3.8724 8.2283 Å, 90.00 90.00 90.00°
Closest atoms and distances in Å follow each position.
Element x y z (fractional)
O 0.5000 0.0000 0.0000  2 Pt 1.94
O 0.0000 0.5000 0.0000  2 Pt 1.94
As 0.5000 0.5000 0.5000  4 I 2.74
I 0.0000 0.0000 0.5000  4 As 2.74
Pt 0.0000 0.0000 0.0000  4 O 1.94

(8)
DFT (GGA-PBE) results for an optimized crystal structure of AsPtIO2.

calculated density = 7.411 g/cm³
relative energy among the computed polymorphs = 0 meV/atom
space group = P4/mmm
magnetic moment = 0.0 μB/f.u.

Cell: 3.7685 3.7685 6.7667 Å, 90.00 90.00 90.00°
Closest atoms and distances in Å follow each position.
Element x y z (fractional)
O 0.0000 0.5000 0.0000  2 As 1.88
O 0.5000 0.0000 0.0000  2 As 1.88
As 0.0000 0.0000 0.0000  4 O 1.88
I 0.0000 0.0000 0.5000  4 Pt 2.66
Pt 0.5000 0.5000 0.5000  4 I 2.66

(9)
DFT (GGA-PBE) results for an optimized crystal structure of AsPtI2O.

calculated density = 7.365 g/cm³
relative energy among the computed polymorphs = 0 meV/atom
space group = P4/mmm
magnetic moment = 0.4 μB/f.u.

Cell: 5.6551 5.6551 3.8056 Å, 90.00 90.00 90.00°
Closest atoms and distances in Å follow each position.
Element x y z (fractional)
Pt 0.0000 0.0000 0.0000  2 O 1.90
I 0.5000 0.0000 0.0000  2 Pt 2.83
I 0.0000 0.5000 0.0000  2 Pt 2.83
O 0.0000 0.0000 0.5000  2 Pt 1.90
As 0.5000 0.5000 0.5000  8 I 3.41, 2 As 3.81

(10)
DFT (GGA-PBE) results for an optimized crystal structure of AsPtI2O.

calculated density = 7.530 g/cm³
relative energy among the computed polymorphs = 55 meV/atom
space group = P4/mmm
magnetic moment = 0.0 μB/f.u.

Cell: 5.6601 5.6601 3.7159 Å, 90.00 90.00 90.00°
Closest atoms and distances in Å follow each position.
Element x y z (fractional)
O 0.0000 0.0000 0.5000  2 As 1.86
Pt 0.5000 0.5000 0.5000  8 I 3.39, 2 Pt 3.72
As 0.0000 0.0000 0.0000  2 O 1.86
I 0.5000 0.0000 0.0000  2 As 2.83
I 0.0000 0.5000 0.0000  2 As 2.83

(11)
DFT (GGA-PBE) results for an optimized crystal structure of RbAsIO2.

calculated density = 3.735 g/cm³
relative energy among the computed polymorphs = 2022 meV/atom
space group = P4/mmm
magnetic moment = 1.1 μB/f.u.

Cell: 4.4341 4.4341 7.2203 Å, 90.00 90.00 90.00°
Closest atoms and distances in Å follow each position.
Element x y z (fractional)
O 0.0000 0.5000 0.0000  2 Rb 2.22
O 0.5000 0.0000 0.0000  2 Rb 2.22
Rb 0.0000 0.0000 0.0000  4 O 2.22
I 0.0000 0.0000 0.5000  4 As 3.14
As 0.5000 0.5000 0.5000  4 I 3.14

(12)
DFT (GGA-PBE) results for an optimized crystal structure of RbAsI2O.

calculated density = 4.775 g/cm³
relative energy among the computed polymorphs = 0 meV/atom
space group = P4/mmm
magnetic moment = 0.0 μB/f.u.

Cell: 6.1670 6.1670 3.9335 Å, 90.00 90.00 90.00°
Closest atoms and distances in Å follow each position.
Element x y z (fractional)
I 0.0000 0.5000 0.0000  2 As 3.08
I 0.5000 0.0000 0.0000  2 As 3.08
As 0.0000 0.0000 0.0000  2 O 1.97
O 0.0000 0.0000 0.5000  2 As 1.97
Rb 0.5000 0.5000 0.5000  8 I 3.66, 2 Rb 3.93